Entry 1:
First-principles (PBE) data for crystalline Dy5Fe2Hg at its relaxed geometry, as listed in Alexandria.

Properties
**Space group**: No. 140
**N(E_F)**: 1.0456 states/eV per atom

Structure (POSCAR):
```
Dy5Fe2Hg
1.0
-4.736 0.474 -5.736
-2.337 -6.947 1.356
-1.429 5.748 6.498
Dy Fe Hg
10 4 2
Direct
0.538 0.691 0.729 Dy
0.809 0.962 0.271 Dy
0.000 0.000 0.000 Dy
0.500 0.500 0.000 Dy
0.191 0.038 0.729 Dy
0.691 0.191 0.729 Dy
0.038 0.538 0.729 Dy
0.309 0.809 0.271 Dy
0.962 0.462 0.271 Dy
0.462 0.309 0.271 Dy
0.107 0.393 0.000 Fe
0.607 0.107 0.000 Fe
0.393 0.893 0.000 Fe
0.893 0.607 0.000 Fe
0.750 0.750 0.500 Hg
0.250 0.250 0.500 Hg
```

Entry 2:
First-principles (PBE) data for crystalline Dy5Fe2Hg2 at its relaxed geometry, as listed in Alexandria.

Properties
**Space group**: No. 64
**N(E_F)**: 0.9995 states/eV per atom

Structure (POSCAR):
```
Dy5Fe2Hg2
1.0
6.802 0.000 2.469
0.000 7.321 0.000
0.581 0.000 9.002
Dy Fe Hg
10 4 4
Direct
0.000 0.000 0.000 Dy
0.500 0.500 0.000 Dy
0.441 0.181 0.753 Dy
0.806 0.819 0.753 Dy
0.306 0.681 0.753 Dy
0.941 0.319 0.753 Dy
0.559 0.819 0.247 Dy
0.194 0.181 0.247 Dy
0.694 0.319 0.247 Dy
0.059 0.681 0.247 Dy
0.104 0.392 0.000 Fe
0.896 0.608 0.000 Fe
0.396 0.892 0.000 Fe
0.604 0.108 0.000 Fe
0.222 0.000 0.555 Hg
0.722 0.500 0.555 Hg
0.778 0.000 0.445 Hg
0.278 0.500 0.445 Hg
```

| no. | DFT formation energy (kcal/mol of atoms) |
| --- | --- |
| 1 | -3.229 |
| 2 | -4.823 |